HfMg3Ti: optimized geometry, PBE-GGA.

```
data_HfMg3Ti
_chemical_formula_sum 'Hf1 Mg3 Ti1'
_space_group_name_H-M_alt 'P 1'
_space_group_IT_number 1
_cell_length_a 4.9940
_cell_length_b 4.9940
_cell_length_c 4.9940
_cell_angle_alpha 90.00
_cell_angle_beta 90.00
_cell_angle_gamma 90.00
loop_
_space_group_symop_operation_xyz
'x,y,z'
loop_
_atom_site_label
_atom_site_fract_x
_atom_site_fract_y
_atom_site_fract_z
Mg1 0.0000 0.5000 0.0000
Mg2 0.0000 0.0000 0.5000
Mg3 0.5000 0.0000 0.0000
Hf1 0.5000 0.5000 0.5000
Ti1 0.0000 0.0000 0.0000
```

## Properties
Its energy above the most stable polymorph in this dataset is 0 meV per atom. The calculation puts the total magnetization at 2.174 μB/cell. The space-group type is No. 221.

Tl2CoI4: optimized geometry, PBE-GGA.

```
data_Tl2CoI4
_chemical_formula_sum 'Tl4 Co2 I8'
_space_group_name_H-M_alt 'P 1'
_space_group_IT_number 1
_cell_length_a 8.0879
_cell_length_b 7.8266
_cell_length_c 9.6028
_cell_angle_alpha 71.93
_cell_angle_beta 90.00
_cell_angle_gamma 90.00
loop_
_space_group_symop_operation_xyz
'x,y,z'
loop_
_atom_site_label
_atom_site_fract_x
_atom_site_fract_y
_atom_site_fract_z
Tl1 0.2500 0.7718 0.5530
Tl2 0.7500 0.2282 0.4470
Tl3 0.2500 0.7438 0.0684
Tl4 0.7500 0.2562 0.9316
Co1 0.2500 0.2161 0.7037
Co2 0.7500 0.7839 0.2963
I1 0.2500 0.3968 0.4293
I2 0.7500 0.6032 0.5707
I3 0.9993 0.9995 0.2353
I4 0.0007 0.0005 0.7647
I5 0.4993 0.0005 0.7647
I6 0.5007 0.9995 0.2353
I7 0.2500 0.4156 0.8726
I8 0.7500 0.5844 0.1274
```

## Properties
Its energy above the most stable polymorph in this dataset is 0 meV per atom. The calculation puts the total magnetization at 6.000 μB/cell. As for the uncorrected formation energy: -36.8 kJ per mole of atoms. The space-group type is No. 11.

HfFeSb: optimized geometry, PBE-GGA.

```
data_HfFeSb
_chemical_formula_sum 'Hf4 Fe4 Sb4'
_space_group_name_H-M_alt 'P 1'
_space_group_IT_number 1
_cell_length_a 4.2515
_cell_length_b 6.8054
_cell_length_c 7.3967
_cell_angle_alpha 90.00
_cell_angle_beta 90.00
_cell_angle_gamma 90.00
loop_
_space_group_symop_operation_xyz
'x,y,z'
loop_
_atom_site_label
_atom_site_fract_x
_atom_site_fract_y
_atom_site_fract_z
Sb1 0.7500 0.7378 0.5993
Sb2 0.2500 0.2622 0.4007
Sb3 0.7500 0.2378 0.9007
Sb4 0.2500 0.7622 0.0993
Hf1 0.2500 0.5019 0.7808
Hf2 0.7500 0.4981 0.2192
Hf3 0.2500 0.0019 0.7192
Hf4 0.7500 0.9981 0.2808
Fe1 0.2500 0.6369 0.4306
Fe2 0.7500 0.3631 0.5694
Fe3 0.2500 0.1369 0.0694
Fe4 0.7500 0.8631 0.9306
```

## Properties
The calculation puts the total magnetization at 2.912 μB/cell. As for the uncorrected formation energy: -32.3 kJ per mole of atoms. The space-group type is No. 62.